(1)
{"formula": "DyCd4S3", "functional": "PBE-GGA", "state": "relaxed", "energy_ev_per_cell": -20.4, "lattice": [[-2.904, 2.904, 5.720], [2.904, -2.904, 5.720], [2.904, 2.904, -5.720]], "species": ["Cd", "Cd", "Cd", "Cd", "Dy", "S", "S", "S"], "frac_coords": [[0.273, 0.273, 0.000], [0.727, 0.727, 0.000], [0.500, 0.000, 0.500], [0.000, 0.500, 0.500], [0.000, 0.000, 0.000], [0.500, 0.500, 0.000], [0.750, 0.250, 0.500], [0.250, 0.750, 0.500]]}

(2)
{"formula": "DyHo2Sn4Au4", "functional": "PBE-GGA", "state": "relaxed", "energy_ev_per_cell": -49.7, "lattice": [[7.045, -2.487, 4.727], [4.687, 5.743, 4.818], [-7.629, -4.106, -1.760]], "species": ["Au", "Au", "Au", "Au", "Dy", "Ho", "Ho", "Sn", "Sn", "Sn", "Sn"], "frac_coords": [[0.626, 0.331, 0.295], [0.964, 0.669, 0.295], [0.374, 0.669, 0.705], [0.036, 0.331, 0.705], [0.000, 0.000, 0.000], [0.629, 0.129, 0.500], [0.371, 0.871, 0.500], [0.214, 0.214, 0.000], [0.786, 0.786, 0.000], [0.698, 0.500, 0.198], [0.302, 0.500, 0.802]]}

(3)
{"formula": "DyMg", "functional": "PBE-GGA", "state": "relaxed", "energy_ev_per_cell": -7.3, "lattice": [[-1.809, 3.505, 3.032], [-2.211, -4.449, -0.257], [4.775, -2.718, 5.989]], "species": ["Dy", "Dy", "Mg", "Mg"], "frac_coords": [[0.000, 0.000, 0.000], [0.333, 0.667, 0.500], [0.000, 0.000, 0.375], [0.333, 0.667, 0.875]]}

(4)
{"formula": "TcN2", "functional": "PBE-GGA", "state": "relaxed", "energy_ev_per_cell": -24.5, "polymorph_energy_mev_per_atom": 537, "lattice": [[0.000, 2.432, 2.432], [2.432, 0.000, 2.432], [2.432, 2.432, 0.000]], "species": ["N", "N", "Tc"], "frac_coords": [[0.250, 0.250, 0.250], [0.750, 0.750, 0.750], [0.000, 0.000, 0.000]]}